[1]
DFT (PBE) results for a relaxed structure of Sr3Ca2Mg2.

* DOS at the Fermi energy: 7.45 states/eV/f.u.
* energy relative to the elements: 75 meV/atom

abc: 5.5579 26.6191 3.8852
angles: 90.00 90.00 90.00
Space group Cmmm (No. 65)
Inequivalent atoms, fractional coordinates:
Sr (0.0000, 0.0000, 0.0000) x2
Sr (0.0000, 0.1400, 0.0000) x4
Ca (0.0000, 0.2902, 0.5000) x4
Mg (0.0000, 0.4302, 0.5000) x4

[2]
DFT (PBE) results for a relaxed structure of ScFe2Pt.

* DOS at the Fermi energy: 2.67 states/eV/f.u.
* energy relative to the elements: -372 meV/atom

abc: 3.7475 3.7475 8.5186
angles: 90.00 90.00 90.00
Space group I4/mmm (No. 139)
Inequivalent atoms, fractional coordinates:
Sc (0.0000, 0.0000, 0.0000) x2
Fe (0.0000, 0.5000, 0.2500) x4
Pt (0.0000, 0.0000, 0.5000) x2

[3]
DFT (PBE) results for a relaxed structure of CsGaTc2H.

* DOS at the Fermi energy: 6.58 states/eV/f.u.
* energy: -4.18 eV per atom

abc: 4.0108 4.0108 5.8009
angles: 90.00 90.00 90.00
Space group P4/mmm (No. 123)
Inequivalent atoms, fractional coordinates:
Cs (0.0000, 0.0000, 0.0000) x1
Ga (0.5000, 0.5000, 0.0000) x1
Tc (0.0000, 0.5000, 0.5000) x2
H (0.5000, 0.5000, 0.5000) x1

[4]
DFT (PBE) results for a relaxed structure of AlFeCu2.

* DOS at the Fermi energy: 2.56 states/eV/f.u.
* energy relative to the elements: -28 meV/atom

abc: 2.5831 4.1914 4.6747
angles: 90.00 97.73 90.00
Space group P2/m (No. 10)
Inequivalent atoms, fractional coordinates:
Al (0.0000, 0.0000, 0.0000) x1
Fe (0.5000, 0.0000, 0.5000) x1
Cu (0.2387, 0.5000, 0.7460) x2

[5]
DFT (PBE) results for a relaxed structure of BeNi.

* DOS at the Fermi energy: 0.96 states/eV/f.u.
* energy relative to the elements: -367 meV/atom

abc: 2.4877 3.5414 4.2891
angles: 90.00 106.06 90.00
Space group P2_1/m (No. 11)
Inequivalent atoms, fractional coordinates:
Be (0.0724, 0.2500, 0.1540) x2
Ni (0.3512, 0.2500, 0.6889) x2

[6]
DFT (PBE) results for a relaxed structure of PdNClF2.

* DOS at the Fermi energy: 8.30 states/eV/f.u.
* relative energy among the computed polymorphs: 552.1 meV per atom
* formation energy (no corrections): 0.827 eV per atom

abc: 4.7741 4.7741 3.3069
angles: 90.00 90.00 90.00
Space group P4/mmm (No. 123)
Inequivalent atoms, fractional coordinates:
Pd (0.0000, 0.0000, 0.0000) x1
N (0.5000, 0.5000, 0.0000) x1
Cl (0.5000, 0.5000, 0.5000) x1
F (0.0000, 0.5000, 0.5000) x2

Number 1: volume 41.06 Å³/atom. Number 2: volume 14.95 Å³/atom. Number 3: volume 18.66 Å³/atom. Number 4: volume 12.54 Å³/atom. Number 5: volume 9.08 Å³/atom. Number 6: volume 15.07 Å³/atom.